# NaGaCuNi GGA-PBE relaxed
data_NaGaCuNi
_chemical_formula_sum 'Na1 Ga1 Cu1 Ni1'
_space_group_name_H-M_alt 'P 1'
_space_group_IT_number 1
_cell_length_a 2.895
_cell_length_b 2.896
_cell_length_c 7.491
_cell_angle_alpha 90.00
_cell_angle_beta 90.00
_cell_angle_gamma 90.00
loop_
_space_group_symop_operation_xyz
'x,y,z'
loop_
_atom_site_label
_atom_site_fract_x
_atom_site_fract_y
_atom_site_fract_z
Ga1 0.000 0.000 0.310
Na1 0.000 0.000 0.783
Ni1 0.500 0.500 0.483
Cu1 0.500 0.500 0.099
# * calculated formation energy: 0.043 eV per atom
# * SG: P4mm, No. 99



# K2AsOs GGA-PBE relaxed
data_K2AsOs
_chemical_formula_sum 'K2 As1 Os1'
_space_group_name_H-M_alt 'P 1'
_space_group_IT_number 1
_cell_length_a 2.778
_cell_length_b 5.406
_cell_length_c 5.768
_cell_angle_alpha 90.00
_cell_angle_beta 90.00
_cell_angle_gamma 90.00
loop_
_space_group_symop_operation_xyz
'x,y,z'
loop_
_atom_site_label
_atom_site_fract_x
_atom_site_fract_y
_atom_site_fract_z
As1 0.500 0.500 0.750
K1 0.000 0.000 0.501
K2 0.000 0.000 0.999
Os1 0.500 0.500 0.250
# * calculated formation energy: 0.827 eV per atom
# * SG: Pmmm, No. 47



# ZrCu2N GGA-PBE relaxed
data_ZrCu2N
_chemical_formula_sum 'Zr2 Cu4 N2'
_space_group_name_H-M_alt 'P 1'
_space_group_IT_number 1
_cell_length_a 7.040
_cell_length_b 7.040
_cell_length_c 5.440
_cell_angle_alpha 49.68
_cell_angle_beta 49.68
_cell_angle_gamma 90.00
loop_
_space_group_symop_operation_xyz
'x,y,z'
loop_
_atom_site_label
_atom_site_fract_x
_atom_site_fract_y
_atom_site_fract_z
Cu1 0.205 0.625 0.250
Cu2 0.875 0.795 0.750
Cu3 0.545 0.125 0.250
Cu4 0.375 0.455 0.750
Zr1 0.750 0.250 0.500
N1 0.250 0.750 0.500
N2 0.500 0.500 0.000
Zr2 0.000 0.000 0.000
# * SG: I-42d, No. 122
# * uncorrected formation energy: 0 kJ/mol of atoms



# KCrMo2 GGA-PBE relaxed
data_KCrMo2
_chemical_formula_sum 'K1 Cr1 Mo2'
_space_group_name_H-M_alt 'P 1'
_space_group_IT_number 1
_cell_length_a 10.087
_cell_length_b 10.087
_cell_length_c 10.087
_cell_angle_alpha 16.83
_cell_angle_beta 16.83
_cell_angle_gamma 16.83
loop_
_space_group_symop_operation_xyz
'x,y,z'
loop_
_atom_site_label
_atom_site_fract_x
_atom_site_fract_y
_atom_site_fract_z
K1 0.750 0.750 0.750
Cr1 0.250 0.250 0.250
Mo1 0.521 0.521 0.521
Mo2 0.979 0.979 0.979
# * calculated formation energy: 0.935 eV per atom
# * SG: R-3m, No. 166



# ZrIrNF2 GGA-PBE relaxed
data_ZrIrNF2
_chemical_formula_sum 'Zr1 Ir1 N1 F2'
_space_group_name_H-M_alt 'P 1'
_space_group_IT_number 1
_cell_length_a 4.491
_cell_length_b 4.491
_cell_length_c 3.686
_cell_angle_alpha 90.00
_cell_angle_beta 90.00
_cell_angle_gamma 90.00
loop_
_space_group_symop_operation_xyz
'x,y,z'
loop_
_atom_site_label
_atom_site_fract_x
_atom_site_fract_y
_atom_site_fract_z
N1 0.000 0.000 0.500
F1 0.500 0.000 0.000
Ir1 0.000 0.000 0.000
F2 0.000 0.500 0.000
Zr1 0.500 0.500 0.500
# * SG: P4/mmm, No. 123
# * uncorrected formation energy: -21 kJ/mol of atoms



# RbLaTaGeTe GGA-PBE relaxed
data_RbLaTaGeTe
_chemical_formula_sum 'Rb2 La2 Ta2 Ge2 Te2'
_space_group_name_H-M_alt 'P 1'
_space_group_IT_number 1
_cell_length_a 7.016
_cell_length_b 3.949
_cell_length_c 12.550
_cell_angle_alpha 90.00
_cell_angle_beta 103.93
_cell_angle_gamma 90.00
loop_
_space_group_symop_operation_xyz
'x,y,z'
loop_
_atom_site_label
_atom_site_fract_x
_atom_site_fract_y
_atom_site_fract_z
La1 0.954 0.000 0.612
Ta1 0.736 0.000 0.276
Ge1 0.849 0.500 0.404
Ta2 0.736 0.500 0.776
Te1 0.343 0.500 0.686
La2 0.954 0.500 0.112
Te2 0.343 0.000 0.186
Ge2 0.849 0.000 0.904
Rb1 0.357 0.000 0.919
Rb2 0.357 0.500 0.419
# * SG: Cm, No. 8
# * uncorrected formation energy: -12 kJ/mol of atoms



# La3Er12Sc GGA-PBE relaxed
data_La3Er12Sc
_chemical_formula_sum 'La3 Er12 Sc1'
_space_group_name_H-M_alt 'P 1'
_space_group_IT_number 1
_cell_length_a 5.010
_cell_length_b 5.010
_cell_length_c 20.031
_cell_angle_alpha 90.00
_cell_angle_beta 90.00
_cell_angle_gamma 90.00
loop_
_space_group_symop_operation_xyz
'x,y,z'
loop_
_atom_site_label
_atom_site_fract_x
_atom_site_fract_y
_atom_site_fract_z
Er1 0.500 0.000 0.627
Er2 0.500 0.000 0.373
La1 0.000 0.000 0.248
Er3 0.500 0.000 0.118
Sc1 0.000 0.000 0.000
Er4 0.000 0.500 0.627
Er5 0.500 0.500 0.245
Er6 0.000 0.500 0.882
La2 0.000 0.000 0.500
Er7 0.000 0.500 0.373
Er8 0.500 0.000 0.882
La3 0.000 0.000 0.752
Er9 0.500 0.500 0.000
Er10 0.000 0.500 0.118
Er11 0.500 0.500 0.500
Er12 0.500 0.500 0.755
# * calculated formation energy: 0.042 eV per atom
# * SG: P4/mmm, No. 123



# Nb2TeRu2 GGA-PBE relaxed
data_Nb2TeRu2
_chemical_formula_sum 'Nb4 Te2 Ru4'
_space_group_name_H-M_alt 'P 1'
_space_group_IT_number 1
_cell_length_a 7.676
_cell_length_b 7.676
_cell_length_c 3.053
_cell_angle_alpha 90.00
_cell_angle_beta 90.00
_cell_angle_gamma 90.00
loop_
_space_group_symop_operation_xyz
'x,y,z'
loop_
_atom_site_label
_atom_site_fract_x
_atom_site_fract_y
_atom_site_fract_z
Nb1 0.847 0.347 0.500
Nb2 0.653 0.847 0.500
Ru1 0.865 0.635 0.000
Ru2 0.365 0.865 0.000
Ru3 0.635 0.135 0.000
Nb3 0.153 0.653 0.500
Te1 0.000 0.000 0.000
Nb4 0.347 0.153 0.500
Ru4 0.135 0.365 0.000
Te2 0.500 0.500 0.000
# * SG: P4/mbm, No. 127
# * uncorrected formation energy: -3 kJ/mol of atoms



DFT total energy list, top to bottom, in eV/f.u.: -14.05, -14.77, -25.05, -28.64, -30.58, -26.12, -75.20, -41.99
Mass density list, top to bottom, in Mg/m³: 5.7, 6.6, 7.1, 6.3, 7.5, 6.0, 8.2, 9.5
Fermi-level density of states list, top to bottom, in states/eV per atom: 0.358, 0.600, 0.771, 1.223, 0.720, 0.748, 1.573, 0.377